Density functional theory data (GGA+U) for a relaxed structure of TlCrI2O.

a b c (Å): 6.1101 6.1101 3.7456
angles (deg): 90.00 90.00 90.00
With the nearest neighbours (Å) after each atom.
Sites, in units of the cell vectors:
1 I 0.5000 0.0000 0.0000  2 Cr 3.06
2 Tl 0.5000 0.5000 0.5000  8 I 3.58, 2 Tl 3.75
3 O 0.0000 0.0000 0.5000  2 Cr 1.87
4 I 0.0000 0.5000 0.0000  2 Cr 3.06
5 Cr 0.0000 0.0000 0.0000  2 O 1.87

Symmetry: P4/mmm, No. 123
DFT total energy in eV/cell: -21.38
D(E_F) in states/eV/atom: 0.462
Total magnetic moment in μB per formula unit: 3.0
Distance to the lowest polymorph of the same formula in meV per atom: 0.0